Here is crystalline PaTe at its relaxed geometry from the Alexandria database. Energies are from GGA-PBE.

Cell and atoms, written as POSCAR:
```
PaTe
1.0
3.737 0.000 0.000
0.000 3.737 0.000
0.000 0.000 3.737
Pa Te
1 1
Direct
0.500 0.500 0.500
0.000 0.000 0.000
```

Calculated values
**Total magnetic moment**: 1.1 μB per formula unit
**ΔE_f (raw)**: -627 meV/atom